Sn2IrWC | PBE-GGA | relaxed

a b c (Å): 4.6098 4.6098 4.0084
angles (deg): 90.00 90.00 90.00
Space group P4/mmm (No. 123)
Inequivalent atoms, fractional coordinates:
Sn  0.0000  0.5000  0.0000 x2
Ir  0.0000  0.0000  0.5000 x1
W  0.5000  0.5000  0.5000 x1
C  0.5000  0.5000  0.0000 x1

Results
Calculated density = 12194 kg/m3
M_tot = 0.000 Bohr magnetons per cell
Formation energy from the elements = 0.882 eV/atom


Sr3Ir2C | PBE-GGA | relaxed

a b c (Å): 9.4915 8.8554 7.2882
angles (deg): 90.00 100.62 90.00
Space group C2/c (No. 15)
Inequivalent atoms, fractional coordinates:
Sr  0.0000  0.1088  0.2500 x4
Sr  0.1732  0.4307  0.9867 x8
Ir  0.1604  0.2297  0.6280 x8
C  0.0000  0.2176  0.7500 x4

Results
Calculated density = 7273 kg/m3
M_tot = 0.000 Bohr magnetons per cell
Formation energy from the elements = -0.190 eV/atom


Sr2IrC | PBE-GGA | relaxed

a b c (Å): 3.8856 4.0517 15.1862
angles (deg): 90.00 90.00 90.00
Space group Immm (No. 71)
Inequivalent atoms, fractional coordinates:
Sr  0.0000  0.0000  0.1183 x4
Ir  0.0000  0.0000  0.5000 x2
C  0.0000  0.5000  0.0000 x2

Results
Calculated density = 5271 kg/m3
M_tot = 0.000 Bohr magnetons per cell
Formation energy from the elements = -0.166 eV/atom


SrIrC | PBE-GGA | relaxed

a b c (Å): 3.8462 3.8462 8.2486
angles (deg): 90.00 90.00 90.00
Space group P4_2/mmc (No. 131)
Inequivalent atoms, fractional coordinates:
Sr  0.0000  0.0000  0.2500 x2
Ir  0.5000  0.5000  0.0000 x2
C  0.0000  0.5000  0.0000 x2

Results
Calculated density = 7943 kg/m3
M_tot = 0.000 Bohr magnetons per cell
Formation energy from the elements = 0.024 eV/atom